Compound: SrH2BrN
Source: Alexandria via LeMat-Bulk
Functional: SCAN
Structure: PBEsol geometry

- E_tot (eV/atom) = -10.995

a = 4.061 Å, b = 4.061 Å, c = 4.523 Å
α = 90.00°, β = 90.00°, γ = 90.00°
Space group P4/mmm (No. 123)
One atom of each set of equivalent atoms:
Sr1 0.000 0.000 0.000
H1 0.000 0.500 0.500
Br1 0.500 0.500 0.000
N1 0.500 0.500 0.500

***

Compound: KTl2Si
Source: Alexandria via LeMat-Bulk
Functional: SCAN
Structure: PBEsol geometry

- excess energy over the best structure of this formula in the dataset (eV per formula unit) = 0.040
- formation energy from raw total energies (meV/atom) = 225

a = 4.379 Å, b = 5.520 Å, c = 9.388 Å
α = 90.00°, β = 90.00°, γ = 90.00°
Space group Imm2 (No. 44)
One atom of each set of equivalent atoms:
K1 0.000 0.000 0.000
Tl1 0.000 0.000 0.438
Tl2 0.000 0.500 0.207
Si1 0.000 0.500 0.771

***

Compound: HfScO2F
Source: Alexandria via LeMat-Bulk
Functional: SCAN
Structure: PBEsol geometry

- formation energy from raw total energies (meV/atom) = -2667

a = 4.078 Å, b = 4.078 Å, c = 4.118 Å
α = 90.00°, β = 90.00°, γ = 90.00°
Space group P4/mmm (No. 123)
One atom of each set of equivalent atoms:
Hf1 0.000 0.000 0.000
Sc1 0.500 0.500 0.500
O1 0.000 0.500 0.000
F1 0.000 0.000 0.500

***

Compound: Lu6AgTe2
Source: Alexandria via LeMat-Bulk
Functional: SCAN
Structure: PBEsol geometry

- formation energy from raw total energies (meV/atom) = -686

a = 21.052 Å, b = 3.927 Å, c = 11.166 Å
α = 90.00°, β = 90.00°, γ = 90.00°
Space group Pnma (No. 62)
One atom of each set of equivalent atoms:
Lu1 0.009 0.250 0.111
Lu2 0.029 0.750 0.379
Lu3 0.108 0.250 0.819
Lu4 0.141 0.750 0.063
Lu5 0.159 0.250 0.531
Lu6 0.232 0.750 0.742
Ag1 0.076 0.750 0.637
Te1 0.127 0.250 0.270
Te2 0.237 0.250 0.958

***

Compound: ReAs4Au
Source: Alexandria via LeMat-Bulk
Functional: SCAN
Structure: PBEsol geometry

- DFT formation energy (meV/atom) = 1117

a = 7.500 Å, b = 7.500 Å, c = 7.500 Å
α = 90.00°, β = 90.00°, γ = 90.00°
Space group F-43m (No. 216)
One atom of each set of equivalent atoms:
Re1 0.000 0.000 0.000
As1 0.126 0.126 0.626
Au1 0.250 0.250 0.250

***

Compound: Al2BiAuN
Source: Alexandria via LeMat-Bulk
Functional: SCAN
Structure: PBEsol geometry

- formation energy from raw total energies (meV/atom) = 175

a = 3.951 Å, b = 3.951 Å, c = 5.743 Å
α = 90.00°, β = 90.00°, γ = 90.00°
Space group P4/mmm (No. 123)
One atom of each set of equivalent atoms:
Al1 0.000 0.500 0.000
Bi1 0.000 0.000 0.500
Au1 0.500 0.500 0.500
N1 0.500 0.500 0.000

***

Compound: Tb5P12Ru19
Source: Alexandria via LeMat-Bulk
Functional: SCAN
Structure: PBEsol geometry

- DFT formation energy (meV/atom) = -948

a = 12.3976 Å, b = 12.3976 Å, c = 3.9190 Å
α = 90.00°, β = 90.00°, γ = 120.00°
Space group P-62m (No. 189)
One atom of each set of equivalent atoms:
Tb1 0.0000 0.8157 0.0000
Tb2 0.3333 0.6667 0.5000
P1 0.0000 0.1842 0.5000
P2 0.0000 0.6269 0.5000
P3 0.1709 0.4779 0.0000
Ru1 0.0000 0.0000 0.5000
Ru2 0.0000 0.2828 0.0000
Ru3 0.0000 0.4443 0.5000
Ru4 0.1249 0.6341 0.0000
Ru5 0.1846 0.3771 0.5000

***

Compound: MgTl4Ag
Source: Alexandria via LeMat-Bulk
Functional: SCAN
Structure: PBEsol geometry

- DFT formation energy (meV/atom) = 329

a = 8.754 Å, b = 8.754 Å, c = 8.754 Å
α = 90.00°, β = 90.00°, γ = 90.00°
Space group F-43m (No. 216)
One atom of each set of equivalent atoms:
Mg1 0.000 0.000 0.000
Tl1 0.125 0.125 0.375
Ag1 0.250 0.250 0.750

***

Compound: Sr2MnInI
Source: Alexandria via LeMat-Bulk
Functional: SCAN
Structure: PBEsol geometry

- formation energy from raw total energies (meV/atom) = -379

a = 6.289 Å, b = 6.289 Å, c = 5.040 Å
α = 90.00°, β = 90.00°, γ = 90.00°
Space group P4/mmm (No. 123)
One atom of each set of equivalent atoms:
Sr1 0.000 0.500 0.000
Mn1 0.000 0.000 0.500
In1 0.000 0.000 0.000
I1 0.500 0.500 0.500

***

Compound: Ca43Al16Pb13
Source: Alexandria via LeMat-Bulk
Functional: SCAN
Structure: PBEsol geometry

- DFT formation energy (meV/atom) = -532

a = 11.4772 Å, b = 11.4772 Å, c = 56.1418 Å
α = 90.00°, β = 90.00°, γ = 120.00°
Space group R-3m (No. 166, hexagonal axes)
One atom of each set of equivalent atoms:
Ca1 0.0000 0.0000 0.0000
Ca2 0.0000 0.0000 0.1855
Ca3 0.0000 0.0000 0.2493
Ca4 0.0000 0.0000 0.3146
Ca5 0.0000 0.3183 0.5000
Ca6 0.0000 0.3342 0.0000
Ca7 0.0095 0.5048 0.5610
Ca8 0.0121 0.5060 0.0624
Ca9 0.1038 0.2076 0.5513
Ca10 0.1056 0.5528 0.7243
Al1 0.0000 0.0000 0.0962
Al2 0.0000 0.0000 0.4049
Al3 0.0778 0.1556 0.6347
Al4 0.0786 0.1571 0.1348
Pb1 0.0000 0.0000 0.5000
Pb2 0.0391 0.5195 0.3799
Pb3 0.0510 0.5255 0.8817

***

Compound: BaTm2Mo4O16
Source: Alexandria via LeMat-Bulk
Functional: SCAN
Structure: PBEsol geometry

- formation energy from raw total energies (meV/atom) = -2766

a = 5.128 Å, b = 12.304 Å, c = 19.440 Å
α = 90.00°, β = 92.32°, γ = 90.00°
Space group C2/c (No. 15)
One atom of each set of equivalent atoms:
Ba1 0.000 0.034 0.250
Tm1 0.003 0.148 0.469
Mo1 0.004 0.255 0.856
Mo2 0.013 0.440 0.090
O1 0.129 0.418 0.332
O2 0.140 0.132 0.831
O3 0.165 0.328 0.042
O4 0.179 0.237 0.565
O5 0.202 0.300 0.710
O6 0.225 0.447 0.601
O7 0.230 0.151 0.131
O8 0.239 0.017 0.534

***

Compound: Cu3Br
Source: Alexandria via LeMat-Bulk
Functional: SCAN
Structure: PBEsol geometry

- excess energy over the best structure of this formula in the dataset (eV per formula unit) = 0.100
- formation energy from raw total energies (meV/atom) = 289

a = 7.127 Å, b = 3.260 Å, c = 5.494 Å
α = 90.00°, β = 100.42°, γ = 90.00°
Space group C2/m (No. 12)
One atom of each set of equivalent atoms:
Cu1 0.000 0.000 0.000
Cu2 0.229 0.500 0.182
Br1 0.000 0.500 0.500

***

Compound: AgPtCl2
Source: Alexandria via LeMat-Bulk
Functional: SCAN
Structure: PBEsol geometry

- excess energy over the best structure of this formula in the dataset (eV per formula unit) = 0.202
- formation energy from raw total energies (meV/atom) = 40

a = 3.195 Å, b = 3.704 Å, c = 13.315 Å
α = 90.00°, β = 90.00°, γ = 90.00°
Space group Imm2 (No. 44)
One atom of each set of equivalent atoms:
Ag1 0.000 0.000 0.000
Pt1 0.000 0.500 0.325
Cl1 0.000 0.000 0.571
Cl2 0.000 0.500 0.799

***

Compound: NaScNb2
Source: Alexandria via LeMat-Bulk
Functional: SCAN
Structure: PBEsol geometry

- DFT formation energy (meV/atom) = 999

a = 6.772 Å, b = 6.772 Å, c = 6.772 Å
α = 90.00°, β = 90.00°, γ = 90.00°
Space group Fm-3m (No. 225)
One atom of each set of equivalent atoms:
Na1 0.000 0.000 0.000
Sc1 0.000 0.000 0.500
Nb1 0.250 0.250 0.250

***

Compound: Li3P
Source: Alexandria via LeMat-Bulk
Functional: SCAN
Structure: PBEsol geometry

- DFT formation energy (meV/atom) = -390

a = 2.717 Å, b = 4.066 Å, c = 5.268 Å
α = 90.00°, β = 103.35°, γ = 90.00°
Space group P2/m (No. 10)
One atom of each set of equivalent atoms:
Li1 0.000 0.000 0.000
Li2 0.246 0.500 0.716
P1 0.500 0.000 0.500

***

Compound: HfTiRuBr2
Source: Alexandria via LeMat-Bulk
Functional: SCAN
Structure: PBEsol geometry

- formation energy from raw total energies (meV/atom) = 759

a = 4.908 Å, b = 4.908 Å, c = 4.875 Å
α = 90.00°, β = 90.00°, γ = 90.00°
Space group P4/mmm (No. 123)
One atom of each set of equivalent atoms:
Hf1 0.000 0.000 0.000
Ti1 0.500 0.500 0.000
Ru1 0.000 0.000 0.500
Br1 0.000 0.500 0.500

***

Compound: TePtI3
Source: Alexandria via LeMat-Bulk
Functional: SCAN
Structure: PBEsol geometry

- formation energy from raw total energies (meV/atom) = 1020

a = 5.830 Å, b = 5.830 Å, c = 5.830 Å
α = 90.00°, β = 90.00°, γ = 90.00°
Space group Pm-3m (No. 221)
One atom of each set of equivalent atoms:
Te1 0.000 0.000 0.000
Pt1 0.500 0.500 0.500
I1 0.000 0.000 0.500

***

Compound: BaCdHg2
Source: Alexandria via LeMat-Bulk
Functional: SCAN
Structure: PBEsol geometry

- DFT formation energy (meV/atom) = -364

a = 7.603 Å, b = 7.603 Å, c = 7.603 Å
α = 90.00°, β = 90.00°, γ = 90.00°
Space group F-43m (No. 216)
One atom of each set of equivalent atoms:
Ba1 0.000 0.000 0.000
Cd1 0.250 0.250 0.250
Hg1 0.000 0.000 0.500
Hg2 0.250 0.250 0.750

***

Compound: SrHg2Cl
Source: Alexandria via LeMat-Bulk
Functional: SCAN
Structure: PBEsol geometry

- excess energy over the best structure of this formula in the dataset (eV per formula unit) = 0.118
- formation energy from raw total energies (meV/atom) = -1052

a = 4.3767 Å, b = 4.3767 Å, c = 22.9164 Å
α = 90.00°, β = 90.00°, γ = 120.00°
Space group R3m (No. 160, hexagonal axes)
One atom of each set of equivalent atoms:
Sr1 0.0000 0.0000 0.0000
Hg1 0.0000 0.0000 0.2405
Hg2 0.0000 0.0000 0.5105
Cl1 0.0000 0.0000 0.7222